! LiAlGaSi (PBE, relaxed); values from VASP
! * electronic total energy: -13.971 eV per cell
! * N(E_F): 2.11 states/eV/cell
! * volume: 16.01 A^3/atom
! * crystal system: cubic
! * formation energy from raw total energies: 0.034 eV/atom
&SYSTEM
  ibrav = 0, nat = 4, ntyp = 4
/
ATOMIC_SPECIES
Si 28.09 Si.upf
Al 26.98 Al.upf
Ga 69.72 Ga.upf
Li 6.94 Li.upf
ATOMIC_POSITIONS crystal
Si 0.750 0.750 0.750
Al 0.500 0.500 0.500
Ga 0.250 0.250 0.250
Li 0.000 0.000 0.000
CELL_PARAMETERS angstrom
-2.597 -3.277 -1.638
1.874 -3.633 -1.860
-0.211 -3.962 2.104

! LaAlSi2 (PBE, relaxed); values from VASP
! * electronic total energy: -18.943 eV per cell
! * N(E_F): 3.22 states/eV/cell
! * volume: 20.91 A^3/atom
! * crystal system: cubic
! * formation energy from raw total energies: 0.143 eV/atom
&SYSTEM
  ibrav = 0, nat = 4, ntyp = 3
/
ATOMIC_SPECIES
Si 28.09 Si.upf
Al 26.98 Al.upf
La 138.91 La.upf
ATOMIC_POSITIONS crystal
Si 0.000 0.000 0.000
Si 0.750 0.750 0.750
Al 0.500 0.500 0.500
La 0.250 0.250 0.250
CELL_PARAMETERS angstrom
4.909 0.000 0.000
2.455 4.251 0.000
2.455 1.417 4.008

! LiCu2Pt (PBE, relaxed); values from VASP
! * electronic total energy: -17.201 eV per cell
! * N(E_F): 1.29 states/eV/cell
! * ΔH_f (0 K): -263 meV/atom
! * volume: 12.94 A^3/atom
! * crystal system: tetragonal
! * offset from the most stable computed form: 13.2 meV/atom
&SYSTEM
  ibrav = 0, nat = 4, ntyp = 3
/
ATOMIC_SPECIES
Cu 63.55 Cu.upf
Pt 195.08 Pt.upf
Li 6.94 Li.upf
ATOMIC_POSITIONS crystal
Cu 0.000 0.000 0.000
Cu 0.250 0.750 0.500
Pt 0.750 0.250 0.500
Li 0.500 0.500 0.000
CELL_PARAMETERS angstrom
4.521 -0.056 0.000
1.443 4.285 0.000
-2.982 -2.114 2.660

! CaCd2P (PBE, relaxed); values from VASP
! * electronic total energy: -10.157 eV per cell
! * N(E_F): 2.06 states/eV/cell
! * ΔH_f (0 K): -229 meV/atom
! * volume: 23.13 A^3/atom
! * crystal system: tetragonal
&SYSTEM
  ibrav = 0, nat = 4, ntyp = 3
/
ATOMIC_SPECIES
Ca 40.08 Ca.upf
Cd 112.41 Cd.upf
P 30.97 P.upf
ATOMIC_POSITIONS crystal
Ca 0.500 0.500 0.716
Cd 0.000 0.000 0.038
Cd 0.500 0.500 0.273
P 0.000 0.000 0.473
CELL_PARAMETERS angstrom
-0.322 2.251 2.876
-3.652 -0.155 -0.288
-0.103 -5.425 4.234

! Cs4Tb3ThTe8 (PBE, relaxed); values from VASP
! * electronic total energy: -71.225 eV per cell
! * N(E_F): 5.31 states/eV/cell
! * volume: 40.39 A^3/atom
! * crystal system: trigonal
! * formation energy from raw total energies: -1.335 eV/atom
&SYSTEM
  ibrav = 0, nat = 16, ntyp = 4
/
ATOMIC_SPECIES
Cs 132.91 Cs.upf
Tb 158.93 Tb.upf
Th 232.04 Th.upf
Te 127.60 Te.upf
ATOMIC_POSITIONS crystal
Cs 0.500 0.000 0.000
Cs 0.500 0.000 0.500
Cs 0.000 0.000 0.000
Cs 0.000 0.000 0.500
Tb 0.500 0.500 0.000
Tb 0.500 0.500 0.500
Tb 0.000 0.500 0.500
Th 0.000 0.500 0.000
Te 0.232 0.693 0.961
Te 0.232 0.693 0.465
Te 0.270 0.310 0.540
Te 0.729 0.693 0.961
Te 0.271 0.307 0.039
Te 0.730 0.690 0.460
Te 0.768 0.307 0.535
Te 0.768 0.307 0.039
CELL_PARAMETERS angstrom
9.118 0.000 0.000
0.000 10.368 0.886
-4.559 -4.565 6.446

! VMoIr (PBE, relaxed); values from VASP
! * electronic total energy: -29.425 eV per cell
! * N(E_F): 3.99 states/eV/cell
! * ΔH_f (0 K): -205 meV/atom
! * volume: 14.74 A^3/atom
! * crystal system: tetragonal
! * offset from the most stable computed form: 0.0 meV/atom
&SYSTEM
  ibrav = 0, nat = 3, ntyp = 3
/
ATOMIC_SPECIES
Mo 95.94 Mo.upf
Ir 192.22 Ir.upf
V 50.94 V.upf
ATOMIC_POSITIONS crystal
Mo 0.004 0.004 0.008
Ir 0.671 0.671 0.342
V 0.325 0.325 0.650
CELL_PARAMETERS angstrom
2.723 0.000 0.000
0.000 2.723 0.000
-1.362 -1.362 5.965

What did the sixth record say?
! VMoIr (PBE, relaxed); values from VASP
! * electronic total energy: -29.425 eV per cell
! * N(E_F): 3.99 states/eV/cell
! * ΔH_f (0 K): -205 meV/atom
! * volume: 14.74 A^3/atom
! * crystal system: tetragonal
! * offset from the most stable computed form: 0.0 meV/atom
&SYSTEM
  ibrav = 0, nat = 3, ntyp = 3
/
ATOMIC_SPECIES
Mo 95.94 Mo.upf
Ir 192.22 Ir.upf
V 50.94 V.upf
ATOMIC_POSITIONS crystal
Mo 0.004 0.004 0.008
Ir 0.671 0.671 0.342
V 0.325 0.325 0.650
CELL_PARAMETERS angstrom
2.723 0.000 0.000
0.000 2.723 0.000
-1.362 -1.362 5.965